Entry 1:
Sm6DyTm4 PBE-GGA optimized geometry; DOS at the Fermi energy = 16.587 states/eV/f.u.; M_tot = 0.00 μB per cell; density = 7.8 g/cm³; energy of formation = 0.310 eV per atom; calculated volume = 33.8 Å³ per atom; space-group type = No. 121; total energy = -4.31 eV per atom
1.0
-3.302 3.302 8.528
3.302 -3.302 8.528
3.302 3.302 -8.528
Sm Dy Tm
6 1 4
Direct
0.000 0.500 0.500
0.013 0.636 0.000
0.364 0.364 0.377
0.500 0.000 0.500
0.636 0.013 0.000
0.987 0.987 0.623
0.000 0.000 0.000
0.193 0.193 0.641
0.448 0.807 0.000
0.552 0.552 0.359
0.807 0.448 0.000

---

Entry 2:
Sm2Dy6Tm PBE-GGA optimized geometry; DOS at the Fermi energy = 11.310 states/eV/f.u.; M_tot = 0.00 μB per cell; density = 8.3 g/cm³; energy of formation = 0.113 eV per atom; calculated volume = 32.1 Å³ per atom; space-group type = No. 15; total energy = -4.50 eV per atom
1.0
6.384 -7.133 0.000
6.384 7.133 0.000
-1.638 0.000 6.352
Sm Dy Tm
4 12 2
Direct
0.119 0.168 0.371
0.168 0.119 0.871
0.832 0.881 0.129
0.881 0.832 0.629
0.039 0.440 0.727
0.151 0.777 0.995
0.223 0.849 0.505
0.278 0.459 0.185
0.440 0.039 0.227
0.459 0.278 0.685
0.541 0.722 0.315
0.560 0.961 0.773
0.722 0.541 0.815
0.777 0.151 0.495
0.849 0.223 0.005
0.961 0.560 0.273
0.382 0.618 0.750
0.618 0.382 0.250

---

Entry 3:
SmDy2Tm4 PBE-GGA optimized geometry; DOS at the Fermi energy = 11.221 states/eV/f.u.; M_tot = 0.00 μB per cell; density = 8.8 g/cm³; energy of formation = 0.078 eV per atom; calculated volume = 31.2 Å³ per atom; space-group type = No. 1; E above lowest polymorph = 3.84 kJ/mol of atoms; total energy = -4.47 eV per atom
1.0
5.985 0.000 0.000
2.991 7.840 0.000
2.976 -0.217 9.311
Sm Dy Tm
2 4 8
Direct
0.000 0.000 0.000
0.289 0.142 0.278
0.105 0.571 0.139
0.115 0.502 0.501
0.302 0.071 0.639
0.407 0.640 0.778
0.479 0.219 0.915
0.510 0.716 0.416
0.547 0.781 0.061
0.679 0.361 0.217
0.725 0.284 0.561
0.859 0.859 0.717
0.902 0.923 0.364
0.933 0.426 0.862

---

Entry 4:
Sm5Dy2Tm6 PBE-GGA optimized geometry; DOS at the Fermi energy = 15.597 states/eV/f.u.; M_tot = 0.00 μB per cell; density = 8.3 g/cm³; energy of formation = 0.097 eV per atom; calculated volume = 32.2 Å³ per atom; space-group type = No. 55; total energy = -4.49 eV per atom
1.0
11.563 0.000 0.000
0.000 20.318 0.000
0.000 0.000 3.560
Sm Dy Tm
10 4 12
Direct
0.000 0.000 0.000
0.084 0.273 0.000
0.199 0.550 0.000
0.301 0.050 0.000
0.416 0.773 0.000
0.500 0.500 0.000
0.584 0.227 0.000
0.699 0.950 0.000
0.801 0.450 0.000
0.916 0.727 0.000
0.171 0.710 0.500
0.329 0.210 0.500
0.671 0.790 0.500
0.829 0.290 0.500
0.061 0.419 0.500
0.080 0.131 0.500
0.176 0.863 0.000
0.324 0.363 0.000
0.420 0.631 0.500
0.439 0.919 0.500
0.561 0.081 0.500
0.580 0.369 0.500
0.676 0.637 0.000
0.824 0.137 0.000
0.920 0.869 0.500
0.939 0.581 0.500

---

Entry 5:
Sm7DyTm3 PBE-GGA optimized geometry; DOS at the Fermi energy = 15.055 states/eV/f.u.; M_tot = 0.09 μB per cell; density = 7.7 g/cm³; energy of formation = 0.241 eV per atom; calculated volume = 33.6 Å³ per atom; space-group type = No. 12; E above lowest polymorph = 5.74 kJ/mol of atoms; total energy = -4.40 eV per atom
1.0
6.336 -5.630 0.000
6.336 5.630 0.000
-2.679 0.000 5.182
Sm Dy Tm
7 1 3
Direct
0.000 0.000 0.000
0.097 0.517 0.307
0.292 0.292 0.793
0.483 0.903 0.693
0.517 0.097 0.307
0.708 0.708 0.207
0.903 0.483 0.693
0.000 0.000 0.500
0.296 0.704 0.000
0.500 0.500 0.500
0.704 0.296 0.000

---

Entry 6:
SmDy3Tm4 PBE-GGA optimized geometry; DOS at the Fermi energy = 12.445 states/eV/f.u.; M_tot = 0.00 μB per cell; density = 8.5 g/cm³; energy of formation = 0.219 eV per atom; calculated volume = 32.0 Å³ per atom; space-group type = No. 65; E above lowest polymorph = 20.57 kJ/mol of atoms; total energy = -4.33 eV per atom
1.0
2.792 -13.031 0.000
2.792 13.031 0.000
0.000 0.000 3.518
Sm Dy Tm
1 3 4
Direct
0.000 0.000 0.000
0.343 0.657 0.000
0.500 0.500 0.500
0.657 0.343 0.000
0.105 0.895 0.500
0.223 0.777 0.500
0.777 0.223 0.500
0.895 0.105 0.500

---

- Which value of calculated volume does entry 2 give?
  32.1 Å³ per atom